(1)
Here is an optimized crystal structure of Th2MgZnCo from Alexandria via LeMat-Bulk. Energies are from GGA-PBE.

Values from the calculation:
- Magnetization: 0.00 Bohr magnetons per cell
- D(E_F): 7.938 states/eV/cell
- SG: P2_1/m, No. 11
- Raw total energy: -0.1888 hartree per atom
- Energy relative to the elements: -175 meV per atom

The structure in POSCAR format:
```
Th2MgZnCo
1.0
-3.179 -3.467 -0.135
1.923 -1.979 5.533
-5.206 4.639 3.462
Th Mg Zn Co
4 2 2 2
Direct
0.750 0.784 0.539 Th
0.750 0.784 0.961 Th
0.250 0.216 0.461 Th
0.250 0.216 0.039 Th
0.250 0.718 0.250 Mg
0.750 0.282 0.750 Mg
0.250 0.581 0.750 Zn
0.750 0.419 0.250 Zn
0.250 0.002 0.750 Co
0.750 0.998 0.250 Co
```

(2)
Here is an optimized crystal structure of ThMgZnCo from Alexandria via LeMat-Bulk. Energies are from GGA-PBE.

Values from the calculation:
- Magnetization: 0.00 Bohr magnetons per cell
- D(E_F): 2.885 states/eV/cell
- SG: F-43m, No. 216
- Raw total energy: -0.1624 hartree per atom
- Energy relative to the elements: -72 meV per atom

The structure in POSCAR format:
```
ThMgZnCo
1.0
-3.139 3.526 0.868
-1.412 0.904 4.498
1.444 4.009 2.209
Zn Co Mg Th
1 1 1 1
Direct
0.750 0.750 0.750 Zn
0.250 0.250 0.250 Co
0.000 0.000 0.000 Mg
0.500 0.500 0.500 Th
```

(3)
Here is an optimized crystal structure of MgTi2Co from Alexandria via LeMat-Bulk. Energies are from GGA-PBE.

Values from the calculation:
- Magnetization: 0.00 Bohr magnetons per cell
- D(E_F): 8.269 states/eV/cell
- SG: I-42d, No. 122
- Raw total energy: -0.2184 hartree per atom
- Energy relative to the elements: 179 meV per atom

The structure in POSCAR format:
```
MgTi2Co
1.0
7.091 0.000 0.000
0.000 7.091 0.000
3.546 3.546 2.676
Mg Co Ti
2 2 4
Direct
0.500 0.500 0.000 Mg
0.250 0.750 0.500 Mg
0.000 0.000 0.000 Co
0.750 0.250 0.500 Co
0.684 0.125 0.250 Ti
0.066 0.625 0.250 Ti
0.375 0.316 0.750 Ti
0.875 0.934 0.750 Ti
```

(4)
Here is an optimized crystal structure of Mg2TiCo from Alexandria via LeMat-Bulk. Energies are from GGA-PBE.

Values from the calculation:
- Magnetization: 0.00 Bohr magnetons per cell
- D(E_F): 3.496 states/eV/cell
- SG: Fm-3m, No. 225
- Raw total energy: -0.1563 hartree per atom
- Energy relative to the elements: 295 meV per atom

The structure in POSCAR format:
```
Mg2TiCo
1.0
-1.014 1.454 4.136
1.433 4.036 1.380
-2.937 3.365 0.545
Mg Co Ti
2 1 1
Direct
0.250 0.250 0.250 Mg
0.750 0.750 0.750 Mg
0.500 0.500 0.500 Co
0.000 0.000 0.000 Ti
```

(5)
Here is an optimized crystal structure of Mg6TiCo from Alexandria via LeMat-Bulk. Energies are from GGA-PBE.

Values from the calculation:
- Magnetization: 1.46 Bohr magnetons per cell
- D(E_F): 6.982 states/eV/cell
- SG: Amm2, No. 38
- Raw total energy: -0.1059 hartree per atom
- Energy relative to the elements: 188 meV per atom

The structure in POSCAR format:
```
Mg6TiCo
1.0
-3.119 3.810 -3.757
2.618 -5.290 -1.877
-4.092 -2.376 0.987
Mg Ti Co
6 1 1
Direct
0.826 0.676 0.500 Mg
0.324 0.174 0.500 Mg
0.669 0.839 0.000 Mg
0.161 0.331 0.000 Mg
0.689 0.311 0.000 Mg
0.174 0.826 0.000 Mg
0.325 0.675 0.500 Ti
0.832 0.168 0.500 Co
```

(6)
Here is an optimized crystal structure of MgTiCo3 from Alexandria via LeMat-Bulk. Energies are from GGA-PBE.

Values from the calculation:
- Magnetization: 0.97 Bohr magnetons per cell
- D(E_F): 4.950 states/eV/cell
- SG: Pm-3m, No. 221
- Raw total energy: -0.1987 hartree per atom
- Energy relative to the elements: 755 meV per atom

The structure in POSCAR format:
```
MgTiCo3
1.0
-3.991 -0.062 1.603
-1.592 -0.366 -3.978
0.194 -4.285 0.317
Mg Co Ti
1 3 1
Direct
0.500 0.500 0.500 Mg
0.000 0.500 0.000 Co
0.000 0.000 0.500 Co
0.500 0.000 0.000 Co
0.000 0.000 0.000 Ti
```

(7)
Here is an optimized crystal structure of MgTi2Co from Alexandria via LeMat-Bulk. Energies are from GGA-PBE.

Values from the calculation:
- Magnetization: 0.67 Bohr magnetons per cell
- D(E_F): 4.637 states/eV/cell
- SG: R3m, No. 160
- Raw total energy: -0.2194 hartree per atom
- Energy relative to the elements: 153 meV per atom

The structure in POSCAR format:
```
MgTi2Co
1.0
-0.872 -1.841 2.996
-0.740 -3.541 -0.201
5.887 -3.194 1.940
Mg Ti Co
1 2 1
Direct
0.502 0.502 0.494 Mg
0.054 0.054 0.839 Ti
0.279 0.279 0.163 Ti
0.665 0.665 0.005 Co
```

(8)
Here is an optimized crystal structure of MgTi2Co from Alexandria via LeMat-Bulk. Energies are from GGA-PBE.

Values from the calculation:
- Magnetization: 0.00 Bohr magnetons per cell
- D(E_F): 5.044 states/eV/cell
- SG: R-3m, No. 166
- Raw total energy: -0.2161 hartree per atom
- Energy relative to the elements: 242 meV per atom

The structure in POSCAR format:
```
MgTi2Co
1.0
2.929 0.000 0.000
1.465 2.537 0.000
1.465 0.846 9.316
Mg Co Ti
1 1 2
Direct
0.000 0.000 0.000 Mg
0.500 0.500 0.500 Co
0.103 0.103 0.690 Ti
0.897 0.897 0.310 Ti
```

(9)
Here is an optimized crystal structure of MgTiCo3 from Alexandria via LeMat-Bulk. Energies are from GGA-PBE.

Values from the calculation:
- Magnetization: 1.21 Bohr magnetons per cell
- D(E_F): 7.655 states/eV/cell
- SG: Pm-3m, No. 221
- Raw total energy: -0.1836 hartree per atom
- Energy relative to the elements: 1165 meV per atom

The structure in POSCAR format:
```
MgTiCo3
1.0
4.224 0.000 0.000
0.000 4.224 0.000
0.000 0.000 4.224
Mg Co Ti
1 3 1
Direct
0.000 0.000 0.000 Mg
0.000 0.500 0.000 Co
0.000 0.000 0.500 Co
0.500 0.000 0.000 Co
0.500 0.500 0.500 Ti
```

(10)
Here is an optimized crystal structure of MgTi2Co from Alexandria via LeMat-Bulk. Energies are from GGA-PBE.

Values from the calculation:
- Magnetization: 0.25 Bohr magnetons per cell
- D(E_F): 5.852 states/eV/cell
- SG: P4/mmm, No. 123
- Raw total energy: -0.2263 hartree per atom
- Energy relative to the elements: -36 meV per atom

The structure in POSCAR format:
```
MgTi2Co
1.0
-1.454 2.613 -0.532
-1.232 -1.195 -2.505
-5.442 -2.264 3.757
Mg Co Ti
1 1 2
Direct
0.500 0.500 0.500 Mg
0.500 0.500 0.000 Co
0.000 0.000 0.798 Ti
0.000 0.000 0.202 Ti
```

(11)
Here is an optimized crystal structure of Mg6TiCo from Alexandria via LeMat-Bulk. Energies are from GGA-PBE.

Values from the calculation:
- Magnetization: 0.21 Bohr magnetons per cell
- D(E_F): 5.514 states/eV/cell
- SG: Amm2, No. 38
- Raw total energy: -0.1079 hartree per atom
- Energy relative to the elements: 135 meV per atom

The structure in POSCAR format:
```
Mg6TiCo
1.0
3.015 -5.484 0.000
3.015 5.484 0.000
0.000 0.000 4.722
Mg Ti Co
6 1 1
Direct
0.658 0.823 0.000 Mg
0.177 0.342 0.000 Mg
0.672 0.328 0.000 Mg
0.837 0.682 0.500 Mg
0.318 0.163 0.500 Mg
0.833 0.167 0.500 Mg
0.307 0.693 0.500 Ti
0.198 0.802 0.000 Co
```

(12)
Here is an optimized crystal structure of MgZr2TiCo from Alexandria via LeMat-Bulk. Energies are from GGA-PBE.

Values from the calculation:
- Magnetization: 0.00 Bohr magnetons per cell
- D(E_F): 10.697 states/eV/cell
- SG: P4/mmm, No. 123
- Raw total energy: -0.1889 hartree per atom
- Energy relative to the elements: 1598 meV per atom

The structure in POSCAR format:
```
MgZr2TiCo
1.0
-0.521 3.519 -3.510
3.008 -2.198 -2.650
-3.727 -2.611 -2.065
Mg Co Zr Ti
1 1 2 1
Direct
0.000 0.000 0.000 Mg
0.500 0.500 0.500 Co
0.000 0.000 0.500 Zr
0.500 0.000 0.000 Zr
0.000 0.500 0.000 Ti
```

(13)
Here is an optimized crystal structure of Mg2TlCo from Alexandria via LeMat-Bulk. Energies are from GGA-PBE.

Values from the calculation:
- Magnetization: 1.21 Bohr magnetons per cell
- D(E_F): 2.065 states/eV/cell
- SG: Cmmm, No. 65
- Raw total energy: -0.1092 hartree per atom
- Energy relative to the elements: 194 meV per atom

The structure in POSCAR format:
```
Mg2TlCo
1.0
4.368 0.045 -0.001
-0.039 4.368 -0.001
0.001 0.001 3.875
Co Mg Tl
1 2 1
Direct
0.000 0.500 0.500 Co
0.000 0.000 0.000 Mg
0.500 0.500 0.000 Mg
0.500 0.000 0.500 Tl
```

(14)
Here is an optimized crystal structure of MgTl2Co from Alexandria via LeMat-Bulk. Energies are from GGA-PBE.

Values from the calculation:
- Magnetization: 0.00 Bohr magnetons per cell
- D(E_F): 2.672 states/eV/cell
- SG: Imm2, No. 44
- Raw total energy: -0.1144 hartree per atom
- Energy relative to the elements: 245 meV per atom

The structure in POSCAR format:
```
MgTl2Co
1.0
6.976 -0.008 0.006
6.307 2.981 0.006
1.393 0.312 4.171
Co Mg Tl
1 1 2
Direct
0.496 0.496 0.504 Co
0.824 0.824 0.676 Mg
0.993 0.993 0.008 Tl
0.187 0.187 0.313 Tl
```

(15)
Here is an optimized crystal structure of Mg2TlCo from Alexandria via LeMat-Bulk. Energies are from GGA-PBE.

Values from the calculation:
- Magnetization: 0.74 Bohr magnetons per cell
- D(E_F): 2.219 states/eV/cell
- SG: P4mm, No. 99
- Raw total energy: -0.1093 hartree per atom
- Energy relative to the elements: 192 meV per atom

The structure in POSCAR format:
```
Mg2TlCo
1.0
-1.942 -1.498 2.374
2.619 -2.003 0.878
1.893 4.359 4.298
Co Mg Tl
1 2 1
Direct
0.500 0.500 0.773 Co
0.000 0.000 0.962 Mg
0.500 0.500 0.239 Mg
0.000 0.000 0.526 Tl
```

(16)
Here is an optimized crystal structure of MgTlCo from Alexandria via LeMat-Bulk. Energies are from GGA-PBE.

Values from the calculation:
- Magnetization: 0.00 Bohr magnetons per cell
- D(E_F): 1.997 states/eV/cell
- SG: F-43m, No. 216
- Raw total energy: -0.1238 hartree per atom
- Energy relative to the elements: 321 meV per atom

The structure in POSCAR format:
```
MgTlCo
1.0
4.382 0.000 0.000
2.191 3.795 0.000
2.191 1.265 3.578
Co Mg Tl
1 1 1
Direct
0.750 0.750 0.750 Co
0.000 0.000 0.000 Mg
0.500 0.500 0.500 Tl
```

(17)
Here is an optimized crystal structure of MgTlCo2 from Alexandria via LeMat-Bulk. Energies are from GGA-PBE.

Values from the calculation:
- Magnetization: 2.98 Bohr magnetons per cell
- D(E_F): 2.192 states/eV/cell
- SG: R3m, No. 160
- Raw total energy: -0.1573 hartree per atom
- Energy relative to the elements: 264 meV per atom

The structure in POSCAR format:
```
MgTlCo2
1.0
-1.173 2.785 -4.241
-4.484 1.230 -2.343
-2.533 4.488 -0.744
Co Mg Tl
2 1 1
Direct
0.947 0.947 0.947 Co
0.299 0.299 0.299 Co
0.520 0.520 0.520 Mg
0.734 0.734 0.734 Tl
```

(18)
Here is an optimized crystal structure of Mg2TlCo from Alexandria via LeMat-Bulk. Energies are from GGA-PBE.

Values from the calculation:
- Magnetization: 1.35 Bohr magnetons per cell
- D(E_F): 2.715 states/eV/cell
- SG: R3m, No. 160
- Raw total energy: -0.1049 hartree per atom
- Energy relative to the elements: 310 meV per atom

The structure in POSCAR format:
```
Mg2TlCo
1.0
-7.971 4.508 -2.088
-8.606 3.647 0.923
-6.945 6.314 0.340
Co Mg Tl
1 2 1
Direct
0.749 0.749 0.749 Co
0.012 0.012 0.012 Mg
0.249 0.249 0.249 Mg
0.490 0.490 0.490 Tl
```

(19)
Here is an optimized crystal structure of Mg4TlCo from Alexandria via LeMat-Bulk. Energies are from GGA-PBE.

Values from the calculation:
- Magnetization: 1.49 Bohr magnetons per cell
- D(E_F): 5.123 states/eV/cell
- SG: C2/m, No. 12
- Raw total energy: -0.0973 hartree per atom
- Energy relative to the elements: -7 meV per atom

The structure in POSCAR format:
```
Mg4TlCo
1.0
-3.627 -2.195 -2.988
0.318 -5.885 3.937
-3.242 6.517 3.624
Mg Tl Co
8 2 2
Direct
0.833 0.333 0.666 Mg
0.620 0.372 0.242 Mg
0.000 0.205 0.000 Mg
0.380 0.130 0.758 Mg
0.167 0.667 0.334 Mg
0.380 0.628 0.758 Mg
0.000 0.795 0.000 Mg
0.620 0.870 0.242 Mg
0.195 0.194 0.387 Tl
0.805 0.806 0.613 Tl
0.720 0.500 0.000 Co
0.280 0.500 0.000 Co
```

(20)
Here is an optimized crystal structure of Mg2TlCo from Alexandria via LeMat-Bulk. Energies are from GGA-PBE.

Values from the calculation:
- Magnetization: 1.18 Bohr magnetons per cell
- D(E_F): 2.555 states/eV/cell
- SG: R-3m, No. 166
- Raw total energy: -0.1076 hartree per atom
- Energy relative to the elements: 237 meV per atom

The structure in POSCAR format:
```
Mg2TlCo
1.0
9.292 -0.015 -0.009
8.750 3.127 -0.009
8.750 1.509 2.738
Co Mg Tl
1 2 1
Direct
0.750 0.750 0.750 Co
0.013 0.013 0.013 Mg
0.487 0.487 0.487 Mg
0.250 0.250 0.250 Tl
```